Below is a geometry-optimized Ba2CuPb2 structure, with properties calculated at the PBE-GGA level.

Results
- uncorrected energy (eV per atom) = -3.285
- magnetic moment (μB per cell) = 0.0
- symmetry = P4/mbm

```
Ba2CuPb2
1.0
7.9233 0.0000 0.0000
0.0000 7.9233 0.0000
0.0000 0.0000 5.5775
Ba Cu Pb
4 2 4
Cartesian
1.2766 2.6851 0.0000 Ba
2.6851 6.6467 0.0000 Ba
5.2382 1.2766 0.0000 Ba
6.6467 5.2382 0.0000 Ba
0.0000 0.0000 2.7887 Cu
3.9616 3.9616 2.7887 Cu
1.1799 5.1415 2.7887 Pb
2.7817 1.1799 2.7887 Pb
5.1415 6.7434 2.7887 Pb
6.7434 2.7817 2.7887 Pb
```